A plane-wave DFT calculation with GGA-PBE was carried out for an optimized crystal structure of LuCoHgAs.

Unit cell a=4.7129 b=4.7129 c=4.7129 alpha=60.00 beta=60.00 gamma=60.00
Last column: nearest neighbours and their distance in Å.
Fractional coordinates of all 4 atoms:
Lu1 0.0000 0.0000 0.0000  4 Hg 2.89, 4 As 2.89
Co1 0.5000 0.5000 0.5000  4 Hg 2.89, 4 As 2.89
Hg1 0.7500 0.7500 0.7500  4 Lu 2.89, 4 Co 2.89
As1 0.2500 0.2500 0.2500  4 Co 2.89, 4 Lu 2.89

Properties
electronic total energy = -4.30 eV/atom
symmetry = F-43m
total magnetic moment = 0.99 μB per formula unit